Computed, not measured: a relaxed KLiPa2N4 crystal at the PBE level of DFT.

The structure in extended XYZ format:
```
8
Lattice="-2.856 2.856 4.167 2.856 -2.856 4.167 2.856 2.856 -4.167" Properties=species:S:1:pos:R:3 pbc="T T T"
K 0.000 0.000 0.000
Li 0.000 0.000 4.167
Pa 2.856 0.000 2.084
Pa 0.000 2.856 2.084
N 1.234 -1.234 2.888
N 1.622 1.622 1.279
N -1.234 1.234 2.888
N 1.234 1.234 5.447
```

- energy (eV per atom) = -7.74

***

Computed, not measured: a relaxed Co2AgPd crystal at the PBE level of DFT.

The structure in extended XYZ format:
```
4
Lattice="0.000 3.037 3.037 3.037 0.000 3.037 3.037 3.037 0.000" Properties=species:S:1:pos:R:3 pbc="T T T"
Co 1.519 1.519 1.519
Co 4.556 4.556 4.556
Ag 0.000 0.000 0.000
Pd 3.037 3.037 3.037
```

- formation energy from the elements (eV/atom) = 0.385
- offset from the most stable computed form (meV/atom) = 0

***

Computed, not measured: a relaxed Ac6Pt2Se3Br crystal at the PBE level of DFT.

The structure in extended XYZ format:
```
12
Lattice="9.932 -2.180 0.000 9.932 2.180 0.000 -2.309 0.000 8.974" Properties=species:S:1:pos:R:3 pbc="T T T"
Ac -0.479 0.000 2.401
Ac 4.397 0.000 8.037
Ac 5.517 0.000 3.897
Ac 12.038 0.000 5.077
Ac 13.158 0.000 0.937
Ac 18.034 0.000 6.573
Pt 2.552 0.000 2.950
Pt 15.003 0.000 6.024
Se 1.203 0.000 7.486
Se 8.777 0.000 4.487
Se 16.352 0.000 1.487
Br 9.932 0.000 0.000
```

- energy (eV per atom) = -5.59

***

Computed, not measured: a relaxed Zr2TeP crystal at the PBE level of DFT.

The structure in extended XYZ format:
```
4
Lattice="1.952 1.127 6.686 -1.952 1.127 6.686 0.000 -2.254 6.686" Properties=species:S:1:pos:R:3 pbc="T T T"
Zr 0.000 0.000 4.597
Zr 0.000 0.000 15.461
Te 0.000 0.000 0.000
P 0.000 0.000 10.029
```

- offset from the most stable computed form (meV/atom) = 13

***

Computed, not measured: a relaxed Pr2Ni2I crystal at the PBE level of DFT.

The structure in extended XYZ format:
```
10
Lattice="-3.743 8.830 2.025 3.743 -8.830 2.025 3.743 8.830 -2.025" Properties=species:S:1:pos:R:3 pbc="T T T"
Pr 1.871 10.536 -1.013
Pr 1.871 1.706 1.013
Pr -1.871 7.125 1.013
Pr 1.871 7.125 1.013
Ni 3.743 -0.613 1.009
Ni 3.743 8.217 -1.009
Ni 0.000 0.613 3.034
Ni 0.000 9.444 1.017
I 0.000 4.415 0.032
I 3.743 4.415 1.994
```

- offset from the most stable computed form (meV/atom) = 132

***

Computed, not measured: a relaxed ScCoSe2 crystal at the PBE level of DFT.

The structure in extended XYZ format:
```
4
Lattice="-1.756 2.110 6.524 1.756 -2.110 6.524 1.756 2.110 -6.524" Properties=species:S:1:pos:R:3 pbc="T T T"
Sc 0.000 0.000 0.000
Co 0.000 0.000 6.524
Se 1.756 0.000 4.870
Se 0.000 2.110 1.655
```

- offset from the most stable computed form (meV/atom) = 70

***

Which formula does entry 2 have?
Co2AgPd

***

Number 2 is which compound?
Co2AgPd